# 1
# V2Cu2Re, optimized geometry, DFT PBE-GGA
data_V2Cu2Re
_cell_length_a 6.661
_cell_length_b 6.661
_cell_length_c 2.987
_cell_angle_alpha 90.00
_cell_angle_beta 90.00
_cell_angle_gamma 90.00
_space_group_name_H-M_alt 'P 4/m b m'
_space_group_IT_number 127
_space_group_name_Hall '-P 4 2ab'
loop_
_atom_site_label
_atom_site_fract_x
_atom_site_fract_y
_atom_site_fract_z
_atom_site_occupancy
V1 0.180 0.320 0.000 1
Cu1 0.122 0.622 0.500 1
Re1 0.000 0.000 0.500 1
# ΔE_f in eV/atom: 0.281



# 2
# PmPaCu10, optimized geometry, DFT PBE-GGA
data_PmPaCu10
_cell_length_a 4.106
_cell_length_b 5.086
_cell_length_c 8.739
_cell_angle_alpha 90.00
_cell_angle_beta 90.00
_cell_angle_gamma 90.00
_space_group_name_H-M_alt 'P m m m'
_space_group_IT_number 47
_space_group_name_Hall '-P 2 2'
loop_
_atom_site_label
_atom_site_fract_x
_atom_site_fract_y
_atom_site_fract_z
_atom_site_occupancy
Pm1 0.000 0.000 0.000 1
Pa1 0.000 0.500 0.500 1
Cu1 0.000 0.000 0.336 1
Cu2 0.000 0.500 0.169 1
Cu3 0.500 0.000 0.500 1
Cu4 0.500 0.255 0.256 1
Cu5 0.500 0.500 0.000 1
# ΔE_f in eV/atom: -0.078



# 3
# Te2AsRuN, optimized geometry, DFT PBE-GGA
data_Te2AsRuN
_cell_length_a 5.406
_cell_length_b 5.406
_cell_length_c 3.510
_cell_angle_alpha 90.00
_cell_angle_beta 90.00
_cell_angle_gamma 90.00
_space_group_name_H-M_alt 'P 4/m m m'
_space_group_IT_number 123
_space_group_name_Hall '-P 4 2'
loop_
_atom_site_label
_atom_site_fract_x
_atom_site_fract_y
_atom_site_fract_z
_atom_site_occupancy
Te1 0.000 0.500 0.000 1
As1 0.000 0.000 0.000 1
Ru1 0.500 0.500 0.500 1
N1 0.000 0.000 0.500 1
# Energy above the most stable polymorph in this dataset in meV/atom: 773



# 4
# CuPt, optimized geometry, DFT PBE-GGA
data_CuPt
_cell_length_a 7.598
_cell_length_b 7.598
_cell_length_c 7.598
_cell_angle_alpha 90.00
_cell_angle_beta 90.00
_cell_angle_gamma 90.00
_space_group_name_H-M_alt 'I -4 3 m'
_space_group_IT_number 217
_space_group_name_Hall 'I -4 2 3'
loop_
_atom_site_label
_atom_site_fract_x
_atom_site_fract_y
_atom_site_fract_z
_atom_site_occupancy
Cu1 0.192 0.192 0.192 1
Pt1 0.128 0.128 0.872 1
# ΔE_f in eV/atom: 0.951



no.,M_tot (μB/atom),calculated total energy (eV/atom)
1,0.0063,-7.494
2,0.0467,-4.678
3,0.0000,-4.516
4,0.0742,-4.117